Entry 1:
A relaxed structure of CdInHgBr, computed with GGA-PBE.

The calculation puts the density of states at the Fermi level at 0.74 states/eV/f.u. The calculation puts the uncorrected formation energy at -168 meV per atom.

It has space group F-43m (No. 216), with a = 7.824 Å, b = 7.824 Å, c = 7.824 Å, α = 90.00°, β = 90.00° and γ = 90.00°. Symmetry generates all atoms from Cd at (0.000, 0.000, 0.000), In at (0.000, 0.000, 0.500), Hg at (0.250, 0.250, 0.250) and Br at (0.250, 0.250, 0.750).

---

Entry 2:
A relaxed structure of K2CdHgBr6, computed with GGA-PBE.

The calculation puts the uncorrected formation energy at -1055 meV per atom.

It has space group P1 (No. 1), with a = 7.776 Å, b = 7.784 Å, c = 7.790 Å, α = 60.37°, β = 60.44° and γ = 60.35°. Symmetry generates all atoms from K at (0.000, 0.000, 0.000), K at (0.498, 0.497, 0.498), Cd at (0.729, 0.728, 0.729), Hg at (0.229, 0.230, 0.230), Br at (0.056, 0.887, 0.464), Br at (0.391, 0.561, 0.957), Br at (0.465, 0.056, 0.887), Br at (0.561, 0.958, 0.390), Br at (0.888, 0.463, 0.057) and Br at (0.958, 0.391, 0.562).

---

Entry 3:
A relaxed structure of Li2CdHgBr6, computed with GGA-PBE.

The calculation puts the density of states at the Fermi level at 0.00 states/eV/f.u. The calculation puts the uncorrected formation energy at -956 meV per atom.

It has space group P1 (No. 1), with a = 6.995 Å, b = 7.001 Å, c = 7.533 Å, α = 90.04°, β = 117.62° and γ = 119.96°. Symmetry generates all atoms from Li at (0.000, 0.000, 0.000), Li at (0.016, 0.508, 0.525), Cd at (0.399, 0.199, 0.599), Hg at (0.412, 0.705, 0.118), Br at (0.170, 0.777, 0.285), Br at (0.178, 0.901, 0.784), Br at (0.507, 0.606, 0.785), Br at (0.508, 0.392, 0.285), Br at (0.882, 0.277, 0.784) and Br at (0.893, 0.115, 0.286).

---

Entry 4:
A relaxed structure of MgCd2HgBr, computed with GGA-PBE.

The calculation puts the density of states at the Fermi level at 3.48 states/eV/f.u. The calculation puts the uncorrected formation energy at 374 meV per atom.

It has space group P4/mmm (No. 123), with a = 5.789 Å, b = 5.789 Å, c = 6.698 Å, α = 90.00°, β = 90.00° and γ = 90.00°. Symmetry generates all atoms from Mg at (0.000, 0.000, 0.000), Cd at (0.000, 0.500, 0.500), Hg at (0.500, 0.500, 0.000) and Br at (0.500, 0.500, 0.500).

---

Entry 5:
A relaxed structure of Na2CdHgBr6, computed with GGA-PBE.

The calculation puts the uncorrected formation energy at -972 meV per atom.

It has space group P1 (No. 1), with a = 7.355 Å, b = 7.370 Å, c = 7.730 Å, α = 90.07°, β = 118.31° and γ = 119.91°. Symmetry generates all atoms from Na at (0.000, 0.000, 0.000), Na at (0.007, 0.503, 0.510), Cd at (0.410, 0.204, 0.615), Hg at (0.415, 0.706, 0.122), Br at (0.236, 0.816, 0.321), Br at (0.240, 0.925, 0.819), Br at (0.504, 0.418, 0.321), Br at (0.505, 0.579, 0.820), Br at (0.892, 0.314, 0.818) and Br at (0.904, 0.085, 0.322).

---

Entry 6:
A relaxed structure of NbCdHg2Br, computed with GGA-PBE.

The calculation puts the density of states at the Fermi level at 3.33 states/eV/f.u. The calculation puts the uncorrected formation energy at 335 meV per atom.

It has space group P4/mmm (No. 123), with a = 5.726 Å, b = 5.726 Å, c = 5.060 Å, α = 90.00°, β = 90.00° and γ = 90.00°. Symmetry generates all atoms from Nb at (0.000, 0.000, 0.000), Cd at (0.500, 0.500, 0.500), Hg at (0.000, 0.500, 0.000) and Br at (0.000, 0.000, 0.500).

---

Entry 7:
A relaxed structure of CdHgBrO2, computed with GGA-PBE.

The calculation puts the density of states at the Fermi level at 1.86 states/eV/f.u. The calculation puts the uncorrected formation energy at 402 meV per atom.

It has space group P4/mmm (No. 123), with a = 4.071 Å, b = 4.071 Å, c = 5.801 Å, α = 90.00°, β = 90.00° and γ = 90.00°. Symmetry generates all atoms from Cd at (0.000, 0.000, 0.000), Hg at (0.500, 0.500, 0.000), Br at (0.000, 0.000, 0.500) and O at (0.000, 0.500, 0.500).

---

Entry 8:
A relaxed structure of Cd2HgBr2O2, computed with GGA-PBE.

The calculation puts the uncorrected formation energy at -765 meV per atom.

It has space group C2/m (No. 12), with a = 13.117 Å, b = 3.834 Å, c = 6.620 Å, α = 90.00°, β = 111.92° and γ = 90.00°. Symmetry generates all atoms from Cd at (0.244, 0.000, 0.279), Hg at (0.000, 0.000, 0.500), Br at (0.119, 0.500, 0.960) and O at (0.163, 0.000, 0.534).